Record 1
# Al2CuRe

A relaxed Al2CuRe crystal (GGA-PBE, Alexandria).

Computed properties:
Formation enthalpy at 0 K in meV per atom: -31.0
D(E_F) in states/eV/cell: 3.943
E_tot in eV per cell: -48.31

a b c (Å): 3.009 4.603 8.307
angles (deg): 90.00 90.00 90.00
Space group Cmmm (No. 65)
One atom of each set of equivalent atoms:
Al 0.000 0.000 0.247 x4
Cu 0.000 0.500 0.000 x2
Re 0.000 0.500 0.500 x2

Record 2
# AlCuRe2

A relaxed AlCuRe2 crystal (GGA-PBE, Alexandria).

Computed properties:
Formation enthalpy at 0 K in meV per atom: 136.4
D(E_F) in states/eV/cell: 3.768
E_tot in eV per cell: -64.38

a b c (Å): 2.926 4.564 8.700
angles (deg): 90.00 90.00 90.00
Space group Cmm2 (No. 35)
One atom of each set of equivalent atoms:
Al 0.000 0.000 0.000 x2
Cu 0.000 0.500 0.234 x2
Re 0.000 0.000 0.494 x2
Re 0.000 0.500 0.745 x2

Record 3
# AlCuRe2

A relaxed AlCuRe2 crystal (GGA-PBE, Alexandria).

Computed properties:
Formation enthalpy at 0 K in meV per atom: 218.5
D(E_F) in states/eV/cell: 9.325
E_tot in eV per cell: -63.72

a b c (Å): 3.712 3.712 8.320
angles (deg): 90.00 90.00 90.00
Space group I4/mmm (No. 139)
One atom of each set of equivalent atoms:
Al 0.000 0.000 0.000 x2
Cu 0.000 0.000 0.500 x2
Re 0.000 0.500 0.250 x4